Below is a geometry-optimized PuScO4 structure, with properties calculated at the GGA-PBE level.

a = 3.4151 Å, b = 4.8612 Å, c = 4.8612 Å
α = 89.05°, β = 90.00°, γ = 90.00°
With the nearest neighbours (Å) after each atom.
Fractional coordinates of all 6 atoms:
O 0.5000 0.6938 0.3062  1 Pu 2.09, 2 Sc 2.16
O 0.5000 0.3062 0.6938  1 Pu 2.09, 2 Sc 2.16
O 0.0000 0.1931 0.1931  1 Sc 2.13, 2 Pu 2.17
O 0.0000 0.8069 0.8069  1 Sc 2.13, 2 Pu 2.17
Pu 0.5000 0.0000 0.0000  6 O 2.09-2.17
Sc 0.0000 0.5000 0.5000  6 O 2.13-2.16

**Calculated density**: 7.26 Mg/m³
**VASP energy**: -9.82 eV/atom
**Space-group type**: No. 65
**Raw formation energy**: -3.07 eV/atom
**D(E_F)**: 5.47 states/eV/cell
**Size of the total moment**: 3.0 μB per cell

Below is a geometry-optimized Tb2SmHoSc4 structure, with properties calculated at the GGA-PBE level.

a = 4.9174 Å, b = 4.9184 Å, c = 10.5054 Å
α = 62.11°, β = 90.00°, γ = 90.00°
With the nearest neighbours (Å) after each atom.
Fractional coordinates of all 8 atoms:
Sc 0.0000 0.2486 0.2515  2 Ho 3.37, 4 Tb 3.37-3.39, 2 Sm 3.39, 4 Sc 3.48
Sc 0.0000 0.7514 0.7485  2 Ho 3.37, 4 Tb 3.37-3.39, 2 Sm 3.39, 4 Sc 3.48
Sc 0.5000 0.2515 0.7485  4 Tb 3.37-3.39, 2 Ho 3.37, 2 Sm 3.39, 4 Sc 3.48
Sc 0.5000 0.7485 0.2515  4 Tb 3.37-3.39, 2 Ho 3.37, 2 Sm 3.39, 4 Sc 3.48
Ho 0.0000 0.5000 0.5000  8 Sc 3.37, 4 Tb 3.48
Tb 0.0000 0.0000 0.0000  8 Sc 3.39, 4 Sm 3.48
Tb 0.5000 0.0000 0.5000  8 Sc 3.37, 4 Ho 3.48
Sm 0.5000 0.5000 0.0000  8 Sc 3.39, 4 Tb 3.48

**Energy of formation**: 0.05 eV/atom
**Calculated density**: 6.01 Mg/m³
**VASP energy**: -5.43 eV/atom
**Space-group type**: No. 123
**D(E_F)**: 13.36 states/eV/cell
**Size of the total moment**: 0.0 μB per cell

Below is a geometry-optimized SmMg2Hg3 structure, with properties calculated at the GGA-PBE level.

a = 4.8773 Å, b = 4.8773 Å, c = 13.7225 Å
α = 90.00°, β = 90.00°, γ = 120.00°
With the nearest neighbours (Å) after each atom.
Fractional coordinates of all 12 atoms:
Mg 0.6667 0.3333 0.0845  7 Hg 2.91-3.05
Mg 0.3333 0.6667 0.9155  7 Hg 2.91-3.05
Mg 0.3333 0.6667 0.5845  7 Hg 2.91-3.05
Mg 0.6667 0.3333 0.4155  7 Hg 2.91-3.05
Hg 0.6667 0.3333 0.8630  4 Mg 2.91-3.04, 1 Hg 3.10, 3 Sm 3.21
Hg 0.6667 0.3333 0.6370  4 Mg 2.91-3.04, 1 Hg 3.10, 3 Sm 3.21
Hg 0.0000 0.0000 0.5000  6 Mg 3.05, 6 Hg 3.39
Hg 0.3333 0.6667 0.3630  4 Mg 2.91-3.04, 1 Hg 3.10, 3 Sm 3.21
Hg 0.0000 0.0000 0.0000  6 Mg 3.05, 6 Hg 3.39
Hg 0.3333 0.6667 0.1370  4 Mg 2.91-3.04, 1 Hg 3.10, 3 Sm 3.21
Sm 0.0000 0.0000 0.7500  8 Hg 3.21-3.43
Sm 0.0000 0.0000 0.2500  8 Hg 3.21-3.43

**Energy of formation**: -0.33 eV/atom
**Calculated density**: 9.41 Mg/m³
**VASP energy**: -1.80 eV/atom
**Space-group type**: No. 194
**D(E_F)**: 7.93 states/eV/cell
**Size of the total moment**: 0.0 μB per cell

Below is a geometry-optimized Pm4MgGe5 structure, with properties calculated at the GGA-PBE level.

a = 6.0326 Å, b = 7.2189 Å, c = 7.2189 Å
α = 79.95°, β = 65.30°, γ = 65.30°
With the nearest neighbours (Å) after each atom.
Fractional coordinates of all 10 atoms:
Ge 0.2580 0.8140 0.6188  1 Mg 2.90, 5 Pm 2.96-3.03
Ge 0.6108 0.0000 0.0000  2 Mg 3.00-3.04, 4 Pm 3.05
Ge 0.8768 0.3812 0.8140  1 Mg 2.90, 5 Pm 2.96-3.03
Ge 0.0720 0.6188 0.1860  1 Mg 2.90, 5 Pm 2.96-3.03
Ge 0.6908 0.1860 0.3812  1 Mg 2.90, 5 Pm 2.96-3.03
Pm 0.1718 0.2073 0.3961  6 Ge 2.96-3.05
Pm 0.5680 0.6039 0.2073  6 Ge 2.96-3.05
Pm 0.7752 0.7927 0.6039  6 Ge 2.96-3.05
Pm 0.3791 0.3961 0.7927  6 Ge 2.96-3.05
Mg 0.1077 0.0000 0.0000  6 Ge 2.90-3.04

**Energy of formation**: -0.46 eV/atom
**Calculated density**: 6.19 Mg/m³
**VASP energy**: -4.83 eV/atom
**Space-group type**: No. 79
**D(E_F)**: 5.83 states/eV/cell
**Size of the total moment**: 0.0 μB per cell

Below is a geometry-optimized PaMnAlRe structure, with properties calculated at the GGA-PBE level.

a = 4.5747 Å, b = 4.5747 Å, c = 4.5747 Å
α = 60.00°, β = 60.00°, γ = 60.00°
With the nearest neighbours (Å) after each atom.
Fractional coordinates of all 4 atoms:
Re 0.5000 0.5000 0.5000  4 Al 2.80, 4 Pa 2.80
Pa 0.7500 0.7500 0.7500  4 Mn 2.80, 4 Re 2.80
Al 0.2500 0.2500 0.2500  4 Mn 2.80, 4 Re 2.80
Mn 0.0000 0.0000 0.0000  4 Pa 2.80, 4 Al 2.80

**Energy of formation**: -0.09 eV/atom
**Calculated density**: 12.24 Mg/m³
**VASP energy**: -8.80 eV/atom
**Space-group type**: No. 216
**D(E_F)**: 2.69 states/eV/cell
**Size of the total moment**: 1.8 μB per cell

Below is a geometry-optimized BeVB3 structure, with properties calculated at the GGA-PBE level.

a = 2.9698 Å, b = 3.0374 Å, c = 8.6219 Å
α = 100.15°, β = 90.00°, γ = 90.00°
With the nearest neighbours (Å) after each atom.
Fractional coordinates of all 10 atoms:
Be 0.2500 0.7936 0.5872  7 B 1.96-2.18
Be 0.7500 0.2064 0.4128  7 B 1.96-2.18
B 0.7500 0.3216 0.6432  2 B 1.71
B 0.2500 0.3714 0.7429  3 B 1.71-1.75
B 0.7500 0.5257 0.0515  3 B 1.72-1.75
B 0.2500 0.6784 0.3568  2 B 1.71
B 0.2500 0.4743 0.9485  3 B 1.72-1.75
B 0.7500 0.6286 0.2571  3 B 1.71-1.75
V 0.2500 0.0743 0.1485  12 B 2.28-2.33
V 0.7500 0.9257 0.8515  12 B 2.28-2.33

**Energy of formation**: -0.45 eV/atom
**Calculated density**: 4.01 Mg/m³
**ΔE to the lowest computed polymorph**: 0 meV per atom
**VASP energy**: -7.02 eV/atom
**Space-group type**: No. 63
**D(E_F)**: 1.47 states/eV/cell
**Size of the total moment**: 0.0 μB per cell

Below is a geometry-optimized TaCuPt structure, with properties calculated at the GGA-PBE level.

a = 4.3733 Å, b = 4.3733 Å, c = 2.7418 Å
α = 90.00°, β = 90.00°, γ = 120.00°
With the nearest neighbours (Å) after each atom.
Fractional coordinates of all 3 atoms:
Cu 0.0000 0.0000 0.1675  3 Pt 2.52, 2 Cu 2.74
Pt 0.6667 0.3333 0.1663  3 Cu 2.52, 2 Pt 2.74
Ta 0.3333 0.6667 0.6664  2 Ta 2.74, 6 Cu 2.87, 6 Pt 2.87

**Energy of formation**: -0.40 eV/atom
**Calculated density**: 16.07 Mg/m³
**ΔE to the lowest computed polymorph**: 19 meV per atom
**VASP energy**: -7.73 eV/atom
**Space-group type**: No. 187
**D(E_F)**: 1.69 states/eV/cell
**Size of the total moment**: 0.0 μB per cell

Below is a geometry-optimized RbNaIN2 structure, with properties calculated at the GGA-PBE level.

a = 5.1133 Å, b = 5.1133 Å, c = 6.3980 Å
α = 90.00°, β = 90.00°, γ = 90.00°
With the nearest neighbours (Å) after each atom.
Fractional coordinates of all 5 atoms:
Na 0.0000 0.0000 0.0000  4 N 2.56
I 0.0000 0.0000 0.5000  2 Na 3.20
N 0.5000 0.0000 0.0000  2 Na 2.56
N 0.0000 0.5000 0.0000  2 Na 2.56
Rb 0.5000 0.5000 0.5000  4 I 3.62

**Calculated density**: 2.61 Mg/m³
**ΔE to the lowest computed polymorph**: 0 meV per atom
**VASP energy**: -3.09 eV/atom
**Space-group type**: No. 123
**Raw formation energy**: 1.01 eV/atom
**D(E_F)**: 2.42 states/eV/cell
**Size of the total moment**: 5.0 μB per cell

Below is a geometry-optimized TlRh2F structure, with properties calculated at the GGA-PBE level.

a = 4.4966 Å, b = 4.4966 Å, c = 4.4966 Å
α = 60.00°, β = 60.00°, γ = 60.00°
With the nearest neighbours (Å) after each atom.
Fractional coordinates of all 4 atoms:
F 0.0000 0.0000 0.0000  8 Rh 2.75
Rh 0.7500 0.7500 0.7500  4 Tl 2.75, 4 F 2.75
Rh 0.2500 0.2500 0.2500  4 Tl 2.75, 4 F 2.75
Tl 0.5000 0.5000 0.5000  8 Rh 2.75

**Calculated density**: 11.09 Mg/m³
**ΔE to the lowest computed polymorph**: 245 meV per atom
**VASP energy**: -4.57 eV/atom
**Space-group type**: No. 225
**Raw formation energy**: 0.17 eV/atom
**D(E_F)**: 12.92 states/eV/cell
**Size of the total moment**: 1.7 μB per cell

Below is a geometry-optimized H2S structure, with properties calculated at the GGA-PBE level.

a = 8.7738 Å, b = 8.7738 Å, c = 8.7738 Å
α = 116.46°, β = 116.46°, γ = 96.24°
With the nearest neighbours (Å) after each atom.
Fractional coordinates of all 24 atoms:
H 0.2046 0.4690 0.7564  1 S 1.35
H 0.5374 0.2810 0.2356  1 S 1.35
H 0.7126 0.4482 0.2436  1 S 1.35
H 0.2126 0.9690 0.2644  1 S 1.35
H 0.0310 0.2954 0.2436  1 S 1.35
H 0.7046 0.9482 0.7356  1 S 1.35
H 0.7190 0.9546 0.2564  1 S 1.35
H 0.0518 0.7874 0.7564  1 S 1.35
H 0.1982 0.4546 0.2356  1 S 1.35
H 0.0454 0.3018 0.7644  1 S 1.35
H 0.5310 0.2874 0.7356  1 S 1.35
H 0.5454 0.7810 0.7436  1 S 1.35
H 0.0374 0.8018 0.2564  1 S 1.35
H 0.5518 0.7954 0.2644  1 S 1.35
H 0.6982 0.4626 0.7436  1 S 1.35
H 0.2190 0.9626 0.7644  1 S 1.35
S 0.6250 0.9650 0.8400  2 H 1.35
S 0.1250 0.7850 0.1600  2 H 1.35
S 0.2150 0.3750 0.3400  2 H 1.35
S 0.5350 0.8750 0.1600  2 H 1.35
S 0.1250 0.2850 0.6600  2 H 1.35
S 0.7150 0.3750 0.8400  2 H 1.35
S 0.0350 0.8750 0.6600  2 H 1.35
S 0.6250 0.4650 0.3400  2 H 1.35

**Calculated density**: 0.91 Mg/m³
**ΔE to the lowest computed polymorph**: 32 meV per atom
**VASP energy**: -3.76 eV/atom
**Space-group type**: No. 142
**D(E_F)**: 0.00 states/eV/cell
**Size of the total moment**: 0.0 μB per cell

Below is a geometry-optimized Li2Al5Pd12 structure, with properties calculated at the GGA-PBE level.

a = 5.4846 Å, b = 7.6223 Å, c = 8.4222 Å
α = 105.47°, β = 90.00°, γ = 111.09°
With the nearest neighbours (Å) after each atom.
Fractional coordinates of all 19 atoms:
Pd 0.0588 0.6231 0.8939  3 Al 2.44-2.53, 1 Li 2.57, 1 Pd 2.71
Pd 0.9135 0.3282 0.5780  4 Al 2.48-2.66, 2 Pd 2.74-2.75
Pd 0.4146 0.3282 0.5780  4 Al 2.49-2.66, 2 Pd 2.74-2.75
Pd 0.5854 0.6718 0.4220  4 Al 2.49-2.66, 2 Pd 2.74-2.75
Pd 0.4357 0.3769 0.1061  3 Al 2.44-2.53, 1 Li 2.57, 1 Pd 2.71
Pd 0.9412 0.3769 0.1061  3 Al 2.44-2.53, 1 Li 2.57, 1 Pd 2.71
Pd 0.5643 0.6231 0.8939  3 Al 2.44-2.53, 1 Li 2.57, 1 Pd 2.71
Pd 0.4935 0.9870 0.6579  2 Al 2.40-2.46
Pd 0.0949 0.1899 0.8105  3 Al 2.58-2.87, 2 Li 2.74, 4 Pd 2.79-2.81
Pd 0.5065 0.0130 0.3421  2 Al 2.40-2.46
Pd 0.0865 0.6718 0.4220  4 Al 2.48-2.66, 2 Pd 2.74-2.75
Pd 0.9051 0.8101 0.1895  3 Al 2.58-2.87, 2 Li 2.74, 4 Pd 2.79-2.81
Al 0.3437 0.6874 0.1547  7 Pd 2.40-2.66
Al 0.6794 0.3588 0.3404  7 Pd 2.44-2.54
Al 0.3206 0.6412 0.6596  7 Pd 2.44-2.54
Al 0.6563 0.3126 0.8453  7 Pd 2.40-2.66
Al 0.0000 0.0000 0.5000  6 Pd 2.58-2.62
Li 0.2532 0.0000 0.0000  4 Pd 2.57-2.74, 2 Li 2.71-2.78
Li 0.7468 0.0000 0.0000  4 Pd 2.57-2.74, 2 Li 2.71-2.78

**Energy of formation**: -0.51 eV/atom
**Calculated density**: 7.52 Mg/m³
**VASP energy**: -4.97 eV/atom
**Space-group type**: No. 12
**D(E_F)**: 6.71 states/eV/cell
**Size of the total moment**: 0.0 μB per cell

Below is a geometry-optimized Dy6TmIn structure, with properties calculated at the GGA-PBE level.

a = 4.8910 Å, b = 4.8910 Å, c = 9.9652 Å
α = 90.00°, β = 90.00°, γ = 90.00°
With the nearest neighbours (Å) after each atom.
Fractional coordinates of all 8 atoms:
Dy 0.5000 0.0000 0.7454  8 Dy 3.46-3.52, 2 In 3.46, 2 Tm 3.52
Dy 0.5000 0.5000 0.0000  4 Tm 3.46, 8 Dy 3.52
Dy 0.5000 0.5000 0.5000  4 In 3.46, 8 Dy 3.46
Dy 0.0000 0.5000 0.7454  8 Dy 3.46-3.52, 2 In 3.46, 2 Tm 3.52
Dy 0.0000 0.5000 0.2546  8 Dy 3.46-3.52, 2 In 3.46, 2 Tm 3.52
Dy 0.5000 0.0000 0.2546  8 Dy 3.46-3.52, 2 In 3.46, 2 Tm 3.52
In 0.0000 0.0000 0.5000  12 Dy 3.46
Tm 0.0000 0.0000 0.0000  12 Dy 3.46-3.52

**Energy of formation**: -0.12 eV/atom
**Calculated density**: 8.77 Mg/m³
**VASP energy**: -4.47 eV/atom
**Space-group type**: No. 123
**D(E_F)**: 9.14 states/eV/cell
**Size of the total moment**: 0.0 μB per cell